MnVN2O after structural relaxation, computed with PBE+U.

Summary:
The value obtained for the density is 4.50 g cm⁻³. As for the total DFT energy (no corrections): -36.8 eV/f.u. The calculation puts the magnetic moment at 4.64 μB per formula unit.

Structure (POSCAR):
```
MnVN2O
1.0
3.818 0.000 0.000
0.000 3.818 0.000
0.000 0.000 3.792
O N V Mn
1 2 1 1
Direct
0.000 0.000 0.500
0.000 0.500 0.000
0.500 0.000 0.000
0.000 0.000 0.000
0.500 0.500 0.500
```